First-principles (PBE-GGA) data for crystalline Hg3PdF at its relaxed geometry, as listed in Alexandria.

Cell: 4.824 4.824 4.824 Å, 90.00 90.00 90.00°
Positions (direct):
F  0.000  0.000  0.000
Hg  0.000  0.500  0.000
Hg  0.000  0.000  0.500
Hg  0.500  0.000  0.000
Pd  0.500  0.500  0.500

Results
* space-group type: Pm-3m, No. 221
* formation energy without anion corrections: 0.1146 eV/atom

***

First-principles (PBE-GGA) data for crystalline Hg2Pd2F7 at its relaxed geometry, as listed in Alexandria.

Cell: 5.709 5.497 5.497 Å, 77.18 83.76 83.76°
Site moments in Bohr magnetons follow the coordinates.
Positions (direct):
Hg  0.543  0.724  0.724  0.00
Hg  0.457  0.276  0.276  0.00
F  0.214  0.997  0.586  0.01
F  0.767  0.490  0.490  0.04
F  0.500  0.000  0.000  0.03
F  0.214  0.586  0.997  0.01
F  0.233  0.510  0.510  0.04
F  0.786  0.414  0.003  0.01
F  0.786  0.003  0.414  0.01
Pd  0.000  0.194  0.806  0.41
Pd  0.000  0.806  0.194  0.41

Results
* space-group type: C2/m, No. 12
* formation energy without anion corrections: -1.0760 eV/atom

***

First-principles (PBE-GGA) data for crystalline HgPdF4 at its relaxed geometry, as listed in Alexandria.

Cell: 6.039 6.039 7.141 Å, 84.92 84.92 47.76°
Positions (direct):
F  0.802  0.302  0.012
F  0.071  0.571  0.324
F  0.571  0.071  0.824
F  0.429  0.929  0.176
F  0.302  0.802  0.512
F  0.929  0.429  0.676
F  0.198  0.698  0.988
F  0.698  0.198  0.488
Hg  0.000  0.500  0.000
Hg  0.500  0.000  0.500
Pd  0.750  0.250  0.750
Pd  0.250  0.750  0.250

Results
* space-group type: C2/m, No. 12
* formation energy without anion corrections: -1.2484 eV/atom

***

First-principles (PBE-GGA) data for crystalline HgPd2F8 at its relaxed geometry, as listed in Alexandria.

Cell: 5.199 6.241 6.241 Å, 61.91 82.64 82.64°
Site moments in Bohr magnetons follow the coordinates.
Positions (direct):
F  0.273  0.601  0.074  0.14
F  0.292  0.609  0.609  -0.01
F  0.727  0.399  0.926  0.14
F  0.303  0.110  0.110  0.01
F  0.697  0.890  0.890  0.01
F  0.273  0.074  0.601  0.14
F  0.708  0.391  0.391  -0.01
F  0.727  0.926  0.399  0.14
Pd  0.508  0.739  0.739  0.68
Pd  0.492  0.261  0.261  0.68
Hg  0.000  0.000  0.000  0.03

Results
* space-group type: C2/m, No. 12
* formation energy without anion corrections: -1.1778 eV/atom

***

First-principles (PBE-GGA) data for crystalline HgPdF3 at its relaxed geometry, as listed in Alexandria.

Cell: 3.501 8.597 7.036 Å, 125.61 90.00 90.00°
Site moments in Bohr magnetons follow the coordinates.
Positions (direct):
F  0.250  0.505  0.179  0.02
F  0.750  0.495  0.821  0.02
F  0.750  0.155  0.085  0.00
F  0.250  0.843  0.317  0.02
F  0.250  0.845  0.915  0.00
F  0.750  0.157  0.683  0.02
Pd  0.750  0.677  0.250  0.16
Pd  0.250  0.323  0.750  0.16
Hg  0.750  0.861  0.705  0.00
Hg  0.250  0.139  0.295  0.00

Results
* space-group type: P2_1/m, No. 11
* formation energy without anion corrections: -1.0587 eV/atom

***

First-principles (PBE-GGA) data for crystalline HgPdF6 at its relaxed geometry, as listed in Alexandria.

Cell: 5.237 5.237 9.982 Å, 90.00 90.00 120.00°
Positions (direct):
F  0.706  0.018  0.386
F  0.018  0.706  0.886
F  0.294  0.312  0.886
F  0.312  0.294  0.386
F  0.688  0.706  0.614
F  0.688  0.982  0.886
F  0.294  0.982  0.614
F  0.706  0.688  0.114
F  0.018  0.312  0.614
F  0.982  0.688  0.386
F  0.982  0.294  0.114
F  0.312  0.018  0.114
Hg  0.667  0.333  0.750
Hg  0.333  0.667  0.250
Pd  0.000  0.000  0.000
Pd  0.000  0.000  0.500

Results
* space-group type: P-31c, No. 163
* formation energy without anion corrections: -1.3395 eV/atom

***

First-principles (PBE-GGA) data for crystalline HgPdF3 at its relaxed geometry, as listed in Alexandria.

Cell: 4.521 4.521 4.521 Å, 90.00 90.00 90.00°
Site moments in Bohr magnetons follow the coordinates.
Positions (direct):
Hg  0.000  0.000  0.000  0.04
F  0.000  0.500  0.000  0.06
F  0.500  0.000  0.000  0.04
F  0.000  0.000  0.500  0.02
Pd  0.500  0.500  0.500  0.80

Results
* space-group type: Pm-3m, No. 221
* formation energy without anion corrections: -0.6541 eV/atom

***

First-principles (PBE-GGA) data for crystalline Hg2PdF4 at its relaxed geometry, as listed in Alexandria.

Cell: 4.736 6.583 6.749 Å, 37.53 75.00 80.57°
Positions (direct):
Hg  0.579  0.187  0.493
Hg  0.421  0.813  0.507
F  0.284  0.688  0.299
F  0.904  0.710  0.008
F  0.716  0.312  0.701
F  0.096  0.290  0.992
Pd  0.000  0.000  0.000

Results
* space-group type: P-1, No. 2
* formation energy without anion corrections: -1.1868 eV/atom

***

First-principles (PBE-GGA) data for crystalline HgPdF3 at its relaxed geometry, as listed in Alexandria.

Cell: 4.277 4.277 4.277 Å, 90.00 90.00 90.00°
Positions (direct):
F  0.000  0.000  0.500
F  0.500  0.000  0.000
F  0.000  0.500  0.000
Pd  0.000  0.000  0.000
Hg  0.500  0.500  0.500

Results
* space-group type: Pm-3m, No. 221
* formation energy without anion corrections: -0.9686 eV/atom

***

First-principles (PBE-GGA) data for crystalline Hg2PdF at its relaxed geometry, as listed in Alexandria.

Cell: 7.069 7.069 5.854 Å, 52.86 52.86 90.00°
Positions (direct):
Hg  0.151  0.625  0.250
Hg  0.375  0.401  0.750
Hg  0.875  0.849  0.750
Hg  0.599  0.125  0.250
F  0.250  0.750  0.500
F  0.500  0.500  0.000
Pd  0.750  0.250  0.500
Pd  0.000  0.000  0.000

Results
* space-group type: I-42d, No. 122
* formation energy without anion corrections: -0.4639 eV/atom

***

First-principles (PBE-GGA) data for crystalline Hg2PdF at its relaxed geometry, as listed in Alexandria.

Cell: 4.666 4.666 4.666 Å, 60.00 60.00 60.00°
Positions (direct):
Pd  0.500  0.500  0.500
F  0.000  0.000  0.000
Hg  0.250  0.250  0.250
Hg  0.750  0.750  0.750

Results
* space-group type: Fm-3m, No. 225
* formation energy without anion corrections: -0.4127 eV/atom

***

First-principles (PBE-GGA) data for crystalline Hg4PdF10 at its relaxed geometry, as listed in Alexandria.

Cell: 3.974 3.974 16.211 Å, 82.96 82.96 60.00°
Site moments in Bohr magnetons follow the coordinates.
Positions (direct):
F  0.149  0.149  0.552  0.00
F  0.448  0.448  0.656  0.00
F  0.253  0.253  0.241  0.00
F  0.045  0.045  0.864  0.08
F  0.955  0.955  0.136  0.08
F  0.347  0.347  0.960  0.19
F  0.851  0.851  0.448  0.00
F  0.747  0.747  0.759  0.00
F  0.552  0.552  0.344  0.00
F  0.653  0.653  0.040  0.19
Pd  0.000  0.000  0.000  1.53
Hg  0.602  0.602  0.193  0.00
Hg  0.799  0.799  0.603  0.00
Hg  0.398  0.398  0.807  0.00
Hg  0.201  0.201  0.397  0.00

Results
* space-group type: R-3m, No. 166
* formation energy without anion corrections: -1.3267 eV/atom

***

First-principles (PBE-GGA) data for crystalline Hg6PdF12 at its relaxed geometry, as listed in Alexandria.

Cell: 6.922 6.922 6.922 Å, 99.53 99.53 99.53°
Site moments in Bohr magnetons follow the coordinates.
Positions (direct):
Hg  0.864  0.392  0.701  0.00
Hg  0.392  0.701  0.864  0.00
Hg  0.299  0.136  0.608  0.00
Hg  0.136  0.608  0.299  0.00
Hg  0.701  0.864  0.392  0.00
Hg  0.608  0.299  0.136  0.00
F  0.948  0.310  0.070  0.06
F  0.930  0.052  0.690  0.06
F  0.586  0.176  0.430  0.00
F  0.070  0.948  0.310  0.06
F  0.414  0.824  0.570  0.00
F  0.430  0.586  0.176  0.00
F  0.052  0.690  0.930  0.06
F  0.310  0.070  0.948  0.06
F  0.176  0.430  0.586  0.00
F  0.690  0.930  0.052  0.06
F  0.824  0.570  0.414  0.00
F  0.570  0.414  0.824  0.00
Pd  0.000  0.000  0.000  1.32

Results
* space-group type: R-3, No. 148
* formation energy without anion corrections: -1.2847 eV/atom

***

First-principles (PBE-GGA) data for crystalline Hg2Pd2F7 at its relaxed geometry, as listed in Alexandria.

Cell: 6.455 5.634 10.710 Å, 90.00 90.00 99.24°
Site moments in Bohr magnetons follow the coordinates.
Positions (direct):
F  0.677  0.424  0.814  0.01
F  0.677  0.924  0.686  0.01
F  0.000  0.000  0.500  0.01
F  0.966  0.996  0.871  0.04
F  0.034  0.504  0.371  0.04
F  0.323  0.576  0.186  0.01
F  0.323  0.076  0.314  0.01
F  0.966  0.496  0.629  0.04
F  0.034  0.004  0.129  0.04
F  0.000  0.500  0.000  0.01
F  0.298  0.079  0.700  0.01
F  0.702  0.421  0.200  0.01
F  0.702  0.921  0.300  0.01
F  0.298  0.579  0.800  0.01
Pd  0.011  0.499  0.190  0.38
Pd  0.989  0.501  0.810  0.38
Pd  0.989  0.001  0.690  0.38
Pd  0.011  0.999  0.310  0.38
Hg  0.481  0.536  0.381  0.01
Hg  0.519  0.964  0.881  0.01
Hg  0.519  0.464  0.619  0.01
Hg  0.481  0.036  0.119  0.01

Results
* space-group type: P2_1/c, No. 14
* formation energy without anion corrections: -1.1713 eV/atom

***

First-principles (PBE-GGA) data for crystalline HgPd2F6 at its relaxed geometry, as listed in Alexandria.

Cell: 7.840 7.140 7.140 Å, 86.21 70.15 70.15°
Site moments in Bohr magnetons follow the coordinates.
Positions (direct):
F  0.647  0.806  0.944  0.11
F  0.052  0.658  0.547  0.21
F  0.448  0.453  0.342  0.21
F  0.301  0.923  0.362  0.15
F  0.699  0.077  0.638  0.15
F  0.199  0.638  0.077  0.15
F  0.147  0.944  0.806  0.11
F  0.552  0.547  0.658  0.21
F  0.801  0.362  0.923  0.15
F  0.948  0.342  0.453  0.21
F  0.353  0.194  0.056  0.11
F  0.853  0.056  0.194  0.11
Hg  0.750  0.069  0.931  0.03
Hg  0.250  0.931  0.069  0.03
Pd  0.795  0.579  0.710  1.44
Pd  0.705  0.290  0.421  1.44
Pd  0.205  0.421  0.290  1.44
Pd  0.295  0.710  0.579  1.44

Results
* space-group type: C2/c, No. 15
* formation energy without anion corrections: -1.0344 eV/atom

***

First-principles (PBE-GGA) data for crystalline HgPd2F8 at its relaxed geometry, as listed in Alexandria.

Cell: 4.146 7.044 7.045 Å, 120.02 90.00 90.01°
Site moments in Bohr magnetons follow the coordinates.
Positions (direct):
F  0.259  0.166  0.336  0.21
F  0.741  0.834  0.664  0.21
F  0.259  0.664  0.830  0.21
F  0.741  0.336  0.170  0.21
F  0.741  0.830  0.166  0.21
F  0.751  0.333  0.667  0.03
F  0.259  0.170  0.834  0.21
F  0.249  0.667  0.333  0.03
Hg  0.000  0.000  0.000  0.07
Pd  0.749  0.667  0.333  1.22
Pd  0.251  0.333  0.667  1.22

Results
* space-group type: P-3, No. 147
* formation energy without anion corrections: -1.0455 eV/atom

***

First-principles (PBE-GGA) data for crystalline HgPdF5 at its relaxed geometry, as listed in Alexandria.

Cell: 5.541 5.541 8.349 Å, 69.91 69.91 70.82°
Positions (direct):
F  0.760  0.354  0.011
F  0.857  0.679  0.631
F  0.923  0.077  0.750
F  0.354  0.760  0.511
F  0.321  0.143  0.870
F  0.240  0.646  0.989
F  0.679  0.857  0.130
F  0.143  0.321  0.369
F  0.077  0.923  0.250
F  0.646  0.240  0.489
Hg  0.463  0.537  0.250
Hg  0.537  0.463  0.750
Pd  0.000  0.000  0.000
Pd  0.000  0.000  0.500

Results
* space-group type: C2/c, No. 15
* formation energy without anion corrections: -1.3230 eV/atom

***

First-principles (PBE-GGA) data for crystalline Hg2PdF at its relaxed geometry, as listed in Alexandria.

Cell: 3.071 3.071 9.415 Å, 80.62 80.62 60.00°
Positions (direct):
Hg  0.904  0.904  0.288
Hg  0.096  0.096  0.712
Pd  0.000  0.000  0.000
F  0.500  0.500  0.500

Results
* space-group type: R-3m, No. 166
* formation energy without anion corrections: -0.3598 eV/atom

***

First-principles (PBE-GGA) data for crystalline HgPdF4 at its relaxed geometry, as listed in Alexandria.

Cell: 6.422 6.422 6.422 Å, 68.75 68.75 105.96°
Site moments in Bohr magnetons follow the coordinates.
Positions (direct):
F  0.233  0.664  0.932  0.13
F  0.164  0.733  0.432  0.13
F  0.836  0.267  0.568  0.13
F  0.404  0.336  0.432  0.13
F  0.164  0.096  0.068  0.13
F  0.767  0.336  0.068  0.13
F  0.596  0.664  0.568  0.13
F  0.836  0.904  0.932  0.13
Pd  0.375  0.125  0.250  1.40
Pd  0.625  0.875  0.750  1.40
Hg  0.125  0.375  0.750  0.03
Hg  0.875  0.625  0.250  0.03

Results
* space-group type: I4_1/amd, No. 141
* formation energy without anion corrections: -1.1068 eV/atom

***

First-principles (PBE-GGA) data for crystalline HgPdPtF6 at its relaxed geometry, as listed in Alexandria.

Cell: 5.860 5.860 9.240 Å, 90.00 90.00 120.00°
Site moments in Bohr magnetons follow the coordinates.
Positions (direct):
Pd  0.000  0.000  0.000  0.98
Pd  0.000  0.000  0.500  0.98
F  0.034  0.348  0.627  -0.01
F  0.966  0.652  0.373  -0.01
F  0.686  0.652  0.127  -0.01
F  0.348  0.314  0.373  -0.01
F  0.652  0.966  0.873  -0.01
F  0.314  0.348  0.873  -0.01
F  0.652  0.686  0.627  -0.01
F  0.686  0.034  0.373  -0.01
F  0.348  0.034  0.127  -0.01
F  0.966  0.314  0.127  -0.01
F  0.314  0.966  0.627  -0.01
F  0.034  0.686  0.873  -0.01
Hg  0.667  0.333  0.750  -0.01
Hg  0.333  0.667  0.250  -0.01
Pt  0.667  0.333  0.250  -0.84
Pt  0.333  0.667  0.750  -0.84

Results
* space-group type: P-31c, No. 163
* formation energy without anion corrections: -1.0666 eV/atom